Record 1
Below is an optimized crystal structure of Sr2CaAg3, with properties calculated at the GGA-PBE level.

Summary:
ρ ... 5.18 g cm⁻³
Total moment ... 0.000 μB/f.u.
Formation enthalpy at 0 K ... -0.27 eV per atom
Crystal system ... trigonal
Total DFT energy (no corrections) ... -2.595 eV/atom
Space group ... P-3m1

extended XYZ file:
```
12
Lattice="-0.3125 -1.9817 -5.0847 4.8724 1.1788 2.1793 0.8648 -12.4399 4.7952" Properties=species:S:1:pos:R:3 pbc="T T T"
Ag 1.9187 -8.1623 0.1251
Ag 0.6445 -9.2709 3.5737
Ag 3.5060 -5.0806 1.7647
Ag 1.4939 -2.0511 -2.2305
Ag 3.9308 -11.1918 4.1203
Ag 0.2203 -3.1691 1.2216
Sr 3.2918 -1.9999 0.5771
Sr 0.0000 0.0000 0.0000
Sr 0.4324 -6.2200 2.3976
Sr 2.1329 -11.2430 1.3127
Ca 1.7058 -5.0993 -1.0556
Ca 3.7189 -8.1436 2.9454
```

---

Record 2
Below is an optimized crystal structure of Sr2Ca2Ag, with properties calculated at the GGA-PBE level.

Summary:
ρ ... 2.90 g cm⁻³
Total moment ... 0.000 μB/f.u.
Formation enthalpy at 0 K ... 0.02 eV per atom
Crystal system ... tetragonal
Energy above the lowest structure with this stoichiometry ... 0.081 eV/atom
Total DFT energy (no corrections) ... -2.019 eV/atom
Space group ... P4/mbm

extended XYZ file:
```
10
Lattice="8.0315 0.0000 0.0000 0.0000 8.0315 0.0000 0.0000 0.0000 6.4585" Properties=species:S:1:pos:R:3 pbc="T T T"
Ca 2.7421 6.7579 0.0000
Ca 1.2736 2.7421 0.0000
Ca 6.7579 5.2894 0.0000
Ca 5.2894 1.2736 0.0000
Ag 4.0157 4.0157 0.0000
Ag 0.0000 0.0000 0.0000
Sr 6.6335 2.6177 3.2293
Sr 2.6177 1.3980 3.2293
Sr 5.4138 6.6335 3.2293
Sr 1.3980 5.4138 3.2293
```

---

Record 3
Below is an optimized crystal structure of SrCa4Ag4, with properties calculated at the GGA-PBE level.

Summary:
ρ ... 3.81 g cm⁻³
Total moment ... 0.000 μB/f.u.
Formation enthalpy at 0 K ... -0.19 eV per atom
Crystal system ... tetragonal
Total DFT energy (no corrections) ... -2.529 eV/atom
Space group ... P4_2/n

extended XYZ file:
```
18
Lattice="-5.7709 0.8784 -1.7532 -3.0952 -2.1724 9.0996 0.6866 9.5062 2.5030" Properties=species:S:1:pos:R:3 pbc="T T T"
Ca -3.5421 3.4918 0.6638
Ca -4.2949 -0.1749 5.6054
Ca -5.8088 4.8987 8.8297
Ca -6.3186 1.4928 2.5077
Ca -0.6899 5.4034 2.8278
Ca -6.4605 7.4196 5.9443
Ca -2.7132 8.2089 4.5999
Ca -2.8901 2.1087 8.4190
Ag -3.2335 1.5905 3.1090
Ag -3.7208 6.1654 2.4790
Ag -3.7133 6.4341 7.1149
Ag -7.2644 0.5777 5.2752
Ag -0.8562 2.5156 1.8157
Ag -5.6914 2.2345 6.9959
Ag -2.7851 5.0058 9.4124
Ag -5.4532 8.3253 3.1954
Sr 0.0000 0.0000 0.0000
Sr -4.0898 4.1061 4.9247
```

---

Record 4
Below is an optimized crystal structure of SrCa2Ag2, with properties calculated at the GGA-PBE level.

Summary:
ρ ... 3.95 g cm⁻³
Total moment ... 0.000 μB/f.u.
Formation enthalpy at 0 K ... -0.21 eV per atom
Crystal system ... tetragonal
Energy above the lowest structure with this stoichiometry ... 0.046 eV/atom
Total DFT energy (no corrections) ... -2.486 eV/atom
Space group ... I4/mmm

extended XYZ file:
```
5
Lattice="-2.0667 3.2632 2.9773 -4.0553 -0.0983 -2.7072 -5.4925 -3.4473 3.9599" Properties=species:S:1:pos:R:3 pbc="T T T"
Ag -3.5639 0.5421 0.9262
Ag -8.0505 -0.8245 3.3038
Ca -6.3044 -0.9816 0.6939
Ca -5.3101 0.6992 3.5362
Sr 0.0000 0.0000 0.0000
```

---

Record 5
Below is an optimized crystal structure of SrCa2TbAg4, with properties calculated at the GGA-PBE level.

Summary:
ρ ... 5.99 g cm⁻³
Total moment ... 0.000 μB/f.u.
Formation enthalpy at 0 K ... -0.29 eV per atom
Crystal system ... trigonal
Total DFT energy (no corrections) ... -3.007 eV/atom
Space group ... R-3m

extended XYZ file:
```
8
Lattice="-2.9323 0.9766 4.2763 -4.5615 -2.5548 0.7107 1.7061 -6.8298 5.9846" Properties=species:S:1:pos:R:3 pbc="T T T"
Sr 0.0000 0.0000 0.0000
Ag 0.0593 -4.3605 4.2915
Ag -5.8469 -4.0475 6.6802
Ag -1.4063 -6.4344 7.0151
Ag -4.3813 -1.9736 3.9565
Ca -1.4287 -2.1292 2.7616
Ca -4.3589 -6.2788 8.2100
Tb -2.8938 -4.2040 5.4858
```

---

Record 6
Below is an optimized crystal structure of SrCaZnAg, with properties calculated at the GGA-PBE level.

Summary:
ρ ... 4.24 g cm⁻³
Total moment ... 0.000 μB/f.u.
Formation enthalpy at 0 K ... -0.27 eV per atom
Crystal system ... orthorhombic
Total DFT energy (no corrections) ... -2.221 eV/atom
Space group ... Amm2

extended XYZ file:
```
4
Lattice="4.3059 0.0000 0.0000 0.0000 4.6891 0.0000 -2.1530 0.0000 5.8345" Properties=species:S:1:pos:R:3 pbc="T T T"
Ca 0.0000 0.0000 1.6228
Sr 2.1530 2.3446 4.1241
Ag 0.0000 0.0000 5.1222
Zn 2.1530 2.3446 0.7999
```